Ba2MgZr PBE-GGA relaxed; total energy = -3.110 eV per atom; total magnetic moment = 0.4 μB/cell; ρ = 4.33 g/cm3
1.0
7.3050 0.0035 0.0056
3.7120 6.2916 -0.0056
-4.7246 -4.5196 3.2582
Mg Ba Zr
1 2 1
direct
0.4702 0.4702 0.0000 Mg
0.7274 0.2274 0.5000 Ba
0.0179 0.0179 0.0000 Ba
0.2845 0.7845 0.5000 Zr

***

SrLiGdCd PBE-GGA relaxed; total energy = -4.733 eV per atom; total magnetic moment = 7.3 μB/cell; ρ = 5.03 g/cm3
1.0
5.5401 0.0000 0.0000
2.7700 4.7979 0.0000
2.7700 1.5993 4.5235
Sr Gd Li Cd
1 1 1 1
direct
0.0000 0.0000 0.0000 Sr
0.5000 0.5000 0.5000 Gd
0.7500 0.7500 0.7500 Li
0.2500 0.2500 0.2500 Cd

***

ZnBRu3 PBE-GGA relaxed; total energy = -6.995 eV per atom; total magnetic moment = 0.8 μB/cell; ρ = 9.35 g/cm3
1.0
-3.4539 -0.6233 2.0596
2.1103 -0.2190 3.4725
-0.4210 4.0154 0.5091
Ru B Zn
3 1 1
direct
0.0000 0.0000 0.5000 Ru
0.0000 0.5000 0.0000 Ru
0.5000 0.0000 0.0000 Ru
0.0000 0.0000 0.0000 B
0.5000 0.5000 0.5000 Zn

***

CdPOsCl2 PBE-GGA relaxed; raw formation energy = 0.275 eV per atom; total magnetic moment = 0.0 μB/cell; ρ = 6.01 g/cm3
1.0
4.9650 0.0000 0.0000
0.0000 4.9650 0.0000
0.0000 0.0000 4.5339
Os Cl Cd P
1 2 1 1
direct
0.0000 0.0000 0.0000 Os
0.0000 0.5000 0.0000 Cl
0.5000 0.0000 0.0000 Cl
0.5000 0.5000 0.5000 Cd
0.0000 0.0000 0.5000 P

***

La2SnBr PBE-GGA relaxed; raw formation energy = -1.093 eV per atom; total magnetic moment = 0.0 μB/cell; ρ = 6.00 g/cm3
1.0
6.3729 -0.0021 -0.0095
0.0014 4.6546 -0.0003
-0.0127 0.0010 8.8860
La Br Sn
4 2 2
direct
0.2022 0.2334 0.9822 La
0.7014 0.7333 0.7237 La
0.6994 0.7333 0.2338 La
0.2009 0.2335 0.4923 La
0.7023 0.2333 0.9794 Br
0.1993 0.7334 0.2366 Br
0.2016 0.7334 0.7450 Sn
0.7008 0.2332 0.4710 Sn

***

Zn5InRh6 PBE-GGA relaxed; total energy = -4.829 eV per atom; total magnetic moment = 0.0 μB/cell; ρ = 10.22 g/cm3
1.0
-3.7635 2.0187 0.6439
-0.7702 0.5011 -6.0742
-0.8097 -6.9699 2.6342
In Rh Zn
1 6 5
direct
0.0000 0.0000 0.0000 In
0.5000 0.2619 0.0000 Rh
0.1701 0.4261 0.3402 Rh
0.5000 0.7381 0.0000 Rh
0.8299 0.0859 0.6598 Rh
0.1701 0.9141 0.3402 Rh
0.8299 0.5739 0.6598 Rh
0.6682 0.6682 0.3364 Zn
0.0000 0.5000 0.0000 Zn
0.3348 0.8348 0.6696 Zn
0.6652 0.1652 0.3304 Zn
0.3318 0.3318 0.6636 Zn

***

BaPbBr2 PBE-GGA relaxed; raw formation energy = -1.144 eV per atom; total magnetic moment = 0.0 μB/cell; ρ = 6.00 g/cm3
1.0
4.2684 0.0000 0.0000
0.0000 6.6259 0.0000
0.0000 0.0000 4.9344
Br Pb Ba
2 1 1
direct
0.0000 0.0000 0.0000 Br
0.5000 0.5000 0.0000 Br
0.5000 0.0000 0.5000 Pb
0.0000 0.5000 0.5000 Ba

***

CsHgBr3 PBE-GGA relaxed; raw formation energy = -0.957 eV per atom; total magnetic moment = 0.0 μB/cell; ρ = 4.50 g/cm3
1.0
10.0615 0.1107 0.9524
-0.1019 8.4146 0.1012
0.8798 -0.1107 10.0682
Hg Br Cs
4 12 4
direct
0.3746 0.7500 0.3746 Hg
0.8747 0.7500 0.8747 Hg
0.6254 0.2500 0.6254 Hg
0.1253 0.2500 0.1253 Hg
0.6126 0.5461 0.6372 Br
0.8628 0.4539 0.8873 Br
0.6372 0.9539 0.6126 Br
0.8873 0.0461 0.8628 Br
0.1242 0.7268 0.6243 Br
0.8758 0.2732 0.3757 Br
0.1127 0.9539 0.1372 Br
0.6243 0.7732 0.1242 Br
0.1372 0.5461 0.1127 Br
0.3874 0.4539 0.3628 Br
0.3628 0.0461 0.3874 Br
0.3757 0.2268 0.8758 Br
0.6276 0.2147 0.1276 Cs
0.8724 0.7147 0.3724 Cs
0.1276 0.2853 0.6276 Cs
0.3724 0.7853 0.8724 Cs

***

Ba2LiLa PBE-GGA relaxed; total energy = -2.395 eV per atom; total magnetic moment = 0.0 μB/cell; ρ = 4.05 g/cm3
1.0
6.2477 0.0000 0.0000
3.1239 5.4107 0.0000
3.1239 1.8036 5.1012
La Li Ba
1 1 2
direct
0.5000 0.5000 0.5000 La
0.7500 0.7500 0.7500 Li
0.2500 0.2500 0.2500 Ba
0.0000 0.0000 0.0000 Ba

***

Zr2IrPb PBE-GGA relaxed; total energy = -7.610 eV per atom; total magnetic moment = 0.0 μB/cell; ρ = 11.07 g/cm3
1.0
3.3589 0.0000 0.0000
0.0000 3.3589 0.0000
0.0000 0.0000 7.7376
Zr Ir Pb
2 1 1
direct
0.0000 0.0000 0.0144 Zr
0.5000 0.5000 0.2915 Zr
0.0000 0.0000 0.4690 Ir
0.5000 0.5000 0.7251 Pb

***

Ac2AgSnPd6 PBE-GGA relaxed; total energy = -5.227 eV per atom; total magnetic moment = 0.0 μB/cell; ρ = 9.75 g/cm3
1.0
6.7361 -0.5330 -1.1529
-0.5647 6.8490 1.3042
2.2137 4.0435 5.2709
Ac Pd Ag Sn
2 6 1 1
direct
0.2689 0.7375 0.4692 Ac
0.7311 0.2625 0.5308 Ac
0.9258 0.7494 0.8278 Pd
0.2694 0.2556 0.4979 Pd
0.7288 0.2307 0.0140 Pd
0.0742 0.2506 0.1722 Pd
0.7306 0.7444 0.5021 Pd
0.2711 0.7693 0.9860 Pd
0.0000 0.0000 0.0000 Ag
0.5000 0.5000 0.0000 Sn

***

Ir2PtPb PBE-GGA relaxed; total energy = -6.310 eV per atom; total magnetic moment = 0.0 μB/cell; ρ = 18.69 g/cm3
1.0
-3.5521 -8.1862 1.7011
-3.7038 -8.1918 -1.3039
-1.1579 -9.0099 0.0754
Ir Pt Pb
2 1 1
direct
0.0056 0.0056 0.0056 Ir
0.4944 0.4944 0.4944 Ir
0.7500 0.7500 0.7500 Pt
0.2500 0.2500 0.2500 Pb

***

Tb12AlCo5 PBE-GGA relaxed; total energy = -5.471 eV per atom; total magnetic moment = 0.0 μB/cell; ρ = 8.46 g/cm3
1.0
7.7483 0.0184 -2.9360
-4.0368 6.8090 -2.4493
0.0142 -0.0184 8.2859
Co Tb Al
5 12 1
direct
0.0000 0.0000 0.0000 Co
0.5000 0.1131 0.6131 Co
0.6222 0.6222 0.0000 Co
0.5000 0.8869 0.3869 Co
0.3778 0.3778 0.0000 Co
0.5192 0.8133 0.7060 Tb
0.4808 0.1867 0.2940 Tb
0.1073 0.8133 0.2940 Tb
0.8927 0.1867 0.7060 Tb
0.6966 0.3159 0.0125 Tb
0.1912 0.4005 0.2093 Tb
0.8088 0.0180 0.2093 Tb
0.6966 0.6841 0.3807 Tb
0.8088 0.5995 0.7907 Tb
0.3034 0.6841 0.9875 Tb
0.1912 0.9820 0.7907 Tb
0.3034 0.3159 0.6193 Tb
0.0000 0.5000 0.5000 Al

***

La2HfAs3Ir4 PBE-GGA relaxed; total energy = -7.762 eV per atom; total magnetic moment = 0.0 μB/cell; ρ = 12.33 g/cm3
1.0
-3.2101 -2.4535 -1.1218
-0.2461 -1.4700 3.9194
-7.1154 8.1214 2.5991
La Ir As Hf
2 4 3 1
direct
0.5000 0.0000 0.2316 La
0.0000 0.5000 0.7684 La
0.0000 0.0000 0.0000 Ir
0.5000 0.0000 0.6432 Ir
0.5000 0.5000 0.0000 Ir
0.0000 0.5000 0.3568 Ir
0.0000 0.0000 0.5000 As
0.0000 0.5000 0.1323 As
0.5000 0.0000 0.8677 As
0.5000 0.5000 0.5000 Hf

***

MgBe2Fe PBE-GGA relaxed; total energy = -4.195 eV per atom; total magnetic moment = 2.0 μB/cell; ρ = 3.51 g/cm3
1.0
3.6974 0.0000 0.0000
0.0000 2.6543 -0.0028
0.0000 1.3166 4.7264
Mg Be Fe
1 2 1
direct
0.5000 0.7976 0.7758 Mg
0.0000 0.1739 0.0261 Be
0.5000 0.0577 0.2638 Be
0.0000 0.4708 0.4343 Fe

***

Pr5ThAs6 PBE-GGA relaxed; total energy = -6.443 eV per atom; total magnetic moment = 0.0 μB/cell; ρ = 6.83 g/cm3
1.0
7.3154 -0.1114 -1.3794
-3.9504 6.1580 -1.3794
0.1429 0.2568 7.4377
Th Pr As
1 5 6
direct
0.0000 0.0000 0.0000 Th
0.6662 0.3338 0.0000 Pr
0.3338 0.6662 0.0000 Pr
0.5000 0.5000 0.5000 Pr
0.8322 0.1678 0.5000 Pr
0.1678 0.8322 0.5000 Pr
0.0822 0.4112 0.2475 As
0.7540 0.7540 0.2475 As
0.4112 0.0822 0.2475 As
0.2460 0.2460 0.7525 As
0.5888 0.9178 0.7525 As
0.9178 0.5888 0.7525 As

***

La2Ce2Se7 PBE-GGA relaxed; raw formation energy = -1.662 eV per atom; total magnetic moment = 0.3 μB/cell; ρ = 5.38 g/cm3
1.0
-0.2275 6.7407 -1.9130
1.9101 -1.7829 -6.5056
-6.6887 -1.3732 -1.5887
Se La Ce
7 2 2
direct
0.0000 0.0000 0.0000 Se
0.5002 0.7596 0.4998 Se
0.0002 0.7439 0.4997 Se
0.4997 0.2561 0.0002 Se
0.9998 0.2561 0.5003 Se
0.5003 0.7439 0.9998 Se
0.4998 0.2404 0.5002 Se
0.7371 0.5000 0.7371 La
0.2629 0.5000 0.2629 La
0.2698 0.0000 0.7302 Ce
0.7302 0.0000 0.2698 Ce

***

Pr3ZnSb PBE-GGA relaxed; raw formation energy = -0.533 eV per atom; total magnetic moment = 0.6 μB/cell; ρ = 6.61 g/cm3
1.0
4.2452 -0.0003 -0.0001
-2.1235 8.1230 0.0857
-0.0008 -0.2542 8.8821
Pr Sb Zn
6 2 2
direct
0.9798 0.9927 0.0167 Pr
0.2685 0.5699 0.0242 Pr
0.4233 0.8803 0.6552 Pr
0.6207 0.2737 0.7662 Pr
0.7755 0.5842 0.3974 Pr
0.0642 0.1614 0.4047 Pr
0.4136 0.8602 0.2825 Sb
0.6304 0.2940 0.1390 Sb
0.8089 0.6515 0.7773 Zn
0.2349 0.5027 0.6446 Zn

***

Tb7PtSe5 PBE-GGA relaxed; raw formation energy = -1.570 eV per atom; total magnetic moment = 0.0 μB/cell; ρ = 8.60 g/cm3
1.0
3.9779 0.0000 0.0000
-1.9889 6.7444 0.0076
0.0000 -0.0263 24.4981
Tb Se Pt
14 10 2
direct
0.0874 0.1748 0.6143 Tb
0.6386 0.2773 0.4618 Tb
0.0883 0.1766 0.8854 Tb
0.3612 0.7224 0.5383 Tb
0.7963 0.5925 0.8194 Tb
0.9123 0.8246 0.3854 Tb
0.4585 0.9170 0.2500 Tb
0.6394 0.2788 0.0383 Tb
0.2049 0.4097 0.1807 Tb
0.2044 0.4087 0.3193 Tb
0.9131 0.8263 0.1143 Tb
0.3619 0.7239 0.9618 Tb
0.7957 0.5913 0.6807 Tb
0.5421 0.0841 0.7500 Tb
0.5565 0.1129 0.3554 Se
0.4442 0.8883 0.8554 Se
0.2795 0.5590 0.4291 Se
0.4435 0.8871 0.6446 Se
0.5570 0.1140 0.1446 Se
0.7204 0.4408 0.5709 Se
0.0008 0.0015 0.9999 Se
0.7211 0.4422 0.9291 Se
0.2802 0.5603 0.0709 Se
0.9998 0.9997 0.4999 Se
0.8062 0.6124 0.2502 Pt
0.1944 0.3887 0.7503 Pt

***

TiSb2Ir PBE-GGA relaxed; raw formation energy = 0.334 eV per atom; total magnetic moment = 0.1 μB/cell; ρ = 7.03 g/cm3
1.0
-5.1104 -2.3948 2.4319
2.7963 -5.4485 0.5108
0.7688 -2.4147 7.0024
Sb Ir Ti
4 2 2
direct
0.3750 0.3507 0.7500 Sb
0.6493 0.1250 0.2500 Sb
0.8750 0.8993 0.7500 Sb
0.1007 0.6250 0.2500 Sb
0.0000 0.0000 0.0000 Ir
0.7500 0.2500 0.5000 Ir
0.5000 0.5000 0.0000 Ti
0.2500 0.7500 0.5000 Ti

***

LaCe3Sb3 PBE-GGA relaxed; raw formation energy = -0.959 eV per atom; total magnetic moment = 17.2 μB/cell; ρ = 7.09 g/cm3
1.0
9.5331 0.0000 0.0000
0.0000 9.5331 0.0000
0.0000 0.0000 9.5331
Sb La Ce
12 4 12
direct
0.0015 0.7471 0.6234 Sb
0.3766 0.5015 0.7529 Sb
0.4985 0.2529 0.1234 Sb
0.1234 0.4985 0.2529 Sb
0.7529 0.3766 0.5015 Sb
0.2471 0.8766 0.9985 Sb
0.9985 0.2471 0.8766 Sb
0.2529 0.1234 0.4985 Sb
0.7471 0.6234 0.0015 Sb
0.8766 0.9985 0.2471 Sb
0.6234 0.0015 0.7471 Sb
0.5015 0.7529 0.3766 Sb
0.5719 0.9281 0.0719 La
0.9281 0.0719 0.5719 La
0.0719 0.5719 0.9281 La
0.4281 0.4281 0.4281 La
0.1782 0.8218 0.3218 Ce
0.5737 0.0737 0.4263 Ce
0.6782 0.6782 0.6782 Ce
0.3236 0.8236 0.6764 Ce
0.1764 0.1764 0.1764 Ce
0.8236 0.6764 0.3236 Ce
0.0737 0.4263 0.5737 Ce
0.3218 0.1782 0.8218 Ce
0.8218 0.3218 0.1782 Ce
0.4263 0.5737 0.0737 Ce
0.6764 0.3236 0.8236 Ce
0.9263 0.9263 0.9263 Ce

***

Li2CaZn PBE-GGA relaxed; total energy = -1.866 eV per atom; total magnetic moment = 0.0 μB/cell; ρ = 2.20 g/cm3
1.0
-1.4231 -3.2508 -0.2169
2.9839 -1.2030 -1.5489
5.6518 -2.7968 4.8349
Ca Zn Li
1 1 2
direct
0.5000 0.7805 0.7194 Ca
0.0000 0.5485 0.4513 Zn
0.0000 0.9411 0.0592 Li
0.5000 0.2299 0.2700 Li

***

PaBePd3 PBE-GGA relaxed; total energy = -6.153 eV per atom; total magnetic moment = 0.8 μB/cell; ρ = 10.90 g/cm3
1.0
4.4006 0.0000 0.0000
0.0000 4.4006 0.0000
0.0000 0.0000 4.4006
Be Pd Pa
1 3 1
direct
0.0000 0.0000 0.0000 Be
0.0000 0.0000 0.5000 Pd
0.0000 0.5000 0.0000 Pd
0.5000 0.0000 0.0000 Pd
0.5000 0.5000 0.5000 Pa